1.
Material: CrRe2Os
Method: DFT, PBE
State: relaxed

Output
energy of formation: 0.877 eV/atom
offset from the most stable computed form: 781 meV/atom

```
data_CrRe2Os
_chemical_formula_sum 'Cr4 Re8 Os4'
_cell_length_a 3.701
_cell_length_b 3.701
_cell_length_c 18.446
_cell_angle_alpha 90.00
_cell_angle_beta 90.00
_cell_angle_gamma 90.00
_symmetry_space_group_name_H-M 'I -4 2 d'
_symmetry_Int_Tables_number 122
_symmetry_space_group_name_Hall 'I -4 2bw'
loop_
_atom_site_label
_atom_site_type_symbol
_atom_site_fract_x
_atom_site_fract_y
_atom_site_fract_z
Cr1 Cr 0.000 0.000 0.000
Re1 Re 0.222 0.250 0.125
Os1 Os 0.000 0.000 0.500
```

***

2.
Material: CrReSb2Os
Method: DFT, PBE
State: relaxed

Output
raw formation energy: 8.567 eV/f.u.

```
data_CrReSb2Os
_chemical_formula_sum 'Cr1 Re1 Sb2 Os1'
_cell_length_a 4.821
_cell_length_b 4.821
_cell_length_c 4.486
_cell_angle_alpha 90.00
_cell_angle_beta 90.00
_cell_angle_gamma 90.00
_symmetry_space_group_name_H-M 'P 4/m m m'
_symmetry_Int_Tables_number 123
_symmetry_space_group_name_Hall '-P 4 2'
loop_
_atom_site_label
_atom_site_type_symbol
_atom_site_fract_x
_atom_site_fract_y
_atom_site_fract_z
Cr1 Cr 0.000 0.000 0.000
Re1 Re 0.500 0.500 0.500
Sb1 Sb 0.000 0.500 0.000
Os1 Os 0.000 0.000 0.500
```

***

3.
Material: CrReOs2Se
Method: DFT, PBE
State: relaxed

Output
raw formation energy: 11.332 eV/f.u.

```
data_CrReOs2Se
_chemical_formula_sum 'Cr1 Re1 Os2 Se1'
_cell_length_a 4.741
_cell_length_b 4.741
_cell_length_c 4.687
_cell_angle_alpha 90.00
_cell_angle_beta 90.00
_cell_angle_gamma 90.00
_symmetry_space_group_name_H-M 'P 4/m m m'
_symmetry_Int_Tables_number 123
_symmetry_space_group_name_Hall '-P 4 2'
loop_
_atom_site_label
_atom_site_type_symbol
_atom_site_fract_x
_atom_site_fract_y
_atom_site_fract_z
Cr1 Cr 0.000 0.000 0.000
Re1 Re 0.500 0.500 0.500
Os1 Os 0.000 0.500 0.500
Se1 Se 0.500 0.500 0.000
```

***

no.,DOS at the Fermi energy (states/eV/atom)
1,1.2690
2,1.1918
3,1.6700